(1)
DFT (PBE) results for a relaxed structure of Cs3Hg5F12.

abc: 15.331 15.331 15.331
angles: 90.00 90.00 90.00
Space group Ia-3d (No. 230)
Unique sites:
Cs 0.000 0.250 0.125 x24
Hg 0.000 0.000 0.000 x16
Hg 0.000 0.250 0.375 x24
F 0.034 0.048 0.644 x96

(2)
DFT (PBE) results for a relaxed structure of Cs3HgF6.

abc: 6.955 7.135 12.018
angles: 90.00 124.74 90.00
Space group P2_1/c (No. 14)
Unique sites:
Cs 0.000 0.000 0.000 x2
Cs 0.263 0.042 0.750 x4
Hg 0.500 0.000 0.500 x2
F 0.196 0.040 0.285 x4
F 0.286 0.681 0.041 x4
F 0.382 0.246 0.058 x4

(3)
DFT (PBE) results for a relaxed structure of Cs2Hg2F7.

Calculated values
ΔE to the lowest computed polymorph (eV/atom): 0.0000

abc: 4.859 7.176 7.512
angles: 108.51 100.51 90.17
Space group P-1 (No. 2)
Unique sites:
Cs 0.189 0.415 0.223 x2
Hg 0.310 0.018 0.699 x2
F 0.212 0.007 0.379 x2
F 0.275 0.708 0.610 x2
F 0.323 0.325 0.817 x2
F 0.500 0.000 0.000 x1

(4)
DFT (PBE) results for a relaxed structure of CsHgF2.

Calculated values
ΔE to the lowest computed polymorph (eV/atom): 0.2003

abc: 6.439 6.439 11.292
angles: 90.00 90.00 90.00
Space group I-42d (No. 122)
Unique sites:
Cs 0.000 0.000 0.000 x4
Hg 0.000 0.000 0.500 x4
F 0.192 0.250 0.625 x8

(5)
DFT (PBE) results for a relaxed structure of CsHgF3.

abc: 4.479 4.479 23.494
angles: 90.00 90.00 90.00
Space group I-4m2 (No. 119)
Unique sites:
Cs 0.000 0.000 0.000 x2
Cs 0.000 0.500 0.250 x2
Hg 0.000 0.500 0.635 x4
F 0.000 0.000 0.322 x4
F 0.000 0.251 0.112 x8

(6)
DFT (PBE) results for a relaxed structure of CsHgF3.

abc: 12.519 5.158 7.283
angles: 90.00 113.26 90.00
Space group C2/m (No. 12)
Unique sites:
Cs 0.116 0.000 0.383 x4
Hg 0.141 0.500 0.924 x4
F 0.112 0.500 0.189 x4
F 0.142 0.000 0.913 x4
F 0.145 0.500 0.638 x4

(7)
DFT (PBE) results for a relaxed structure of CsHgF3.

abc: 13.105 11.198 6.465
angles: 90.00 94.82 90.00
Space group C2/c (No. 15)
Unique sites:
Cs 0.216 0.117 0.270 x8
Hg 0.000 0.241 0.750 x4
Hg 0.000 0.424 0.250 x4
F 0.089 0.419 0.925 x8
F 0.094 0.295 0.455 x8
F 0.141 0.135 0.830 x8

(8)
DFT (PBE) results for a relaxed structure of CsHgF3.

abc: 3.750 7.841 7.880
angles: 61.38 89.96 89.96
Space group P1 (No. 1)
Unique sites:
Cs 0.000 0.000 0.000 x1
Cs 0.000 0.500 0.500 x1
Hg 0.001 0.000 0.500 x1
Hg 0.501 0.500 0.000 x1
F 0.001 0.284 0.209 x1
F 0.001 0.716 0.791 x1
F 0.500 0.117 0.611 x1
F 0.500 0.344 0.841 x1
F 0.501 0.656 0.159 x1
F 0.502 0.883 0.390 x1

Record order is preserved below.
Raw total energy: -3.095, -3.563, -3.271, -2.943, -2.806, -3.321, -3.325, -3.329 eV/atom
Record order is preserved below.
ΔE_f (raw): -35.4, -21.5, -20.6, -6.9, -7.3, -9.8, -9.9, -9.9 eV per formula unit